Computed, not measured: a geometry-optimized SrTmAg structure at the GGA-PBE level of DFT. Values from VASP.

Computed properties:
energy above the lowest structure with this stoichiometry	0	meV/atom
space-group type	F-43m
crystal system	cubic

Geometry as Quantum ESPRESSO input:
```
&SYSTEM
  ibrav = 0, nat = 3, ntyp = 3
/
ATOMIC_SPECIES
Sr 87.62 Sr.upf
Tm 168.93 Tm.upf
Ag 107.87 Ag.upf
ATOMIC_POSITIONS crystal
Sr 0.0000 0.0000 0.0000
Tm 0.5000 0.5000 0.5000
Ag 0.2500 0.2500 0.2500
CELL_PARAMETERS angstrom
0.0000 3.6783 3.6783
3.6783 0.0000 3.6783
3.6783 3.6783 0.0000
```



Computed, not measured: a geometry-optimized CsTmFeSe3 structure at the GGA-PBE level of DFT. Values from VASP.

Computed properties:
space-group type	C2/m
electronic total energy	-4.997	eV/atom
crystal system	monoclinic

Geometry as Quantum ESPRESSO input:
```
&SYSTEM
  ibrav = 0, nat = 12, ntyp = 4
/
ATOMIC_SPECIES
Cs 132.91 Cs.upf
Tm 168.93 Tm.upf
Fe 55.84 Fe.upf
Se 78.96 Se.upf
ATOMIC_POSITIONS crystal
Cs 0.1552 0.1552 0.0609
Cs 0.8448 0.8448 0.9391
Tm 0.1637 0.1637 0.5667
Tm 0.8363 0.8363 0.4333
Fe 0.4965 0.4965 0.2714
Fe 0.5035 0.5035 0.7286
Se 0.0000 0.0000 0.5000
Se 0.3335 0.3335 0.6375
Se 0.3515 0.3515 0.2416
Se 0.5000 0.5000 0.0000
Se 0.6485 0.6485 0.7584
Se 0.6665 0.6665 0.3625
CELL_PARAMETERS angstrom
8.7015 -2.1251 0.0000
8.7015 2.1251 0.0000
-1.7580 0.0000 9.0689
```



Computed, not measured: a geometry-optimized BaLiFeRe structure at the GGA-PBE level of DFT. Values from VASP.

Computed properties:
energy above the lowest structure with this stoichiometry	389	meV/atom
space-group type	F-43m
crystal system	cubic

Geometry as Quantum ESPRESSO input:
```
&SYSTEM
  ibrav = 0, nat = 4, ntyp = 4
/
ATOMIC_SPECIES
Ba 137.33 Ba.upf
Li 6.94 Li.upf
Fe 55.84 Fe.upf
Re 186.21 Re.upf
ATOMIC_POSITIONS crystal
Ba 0.0000 0.0000 0.0000
Li 0.5000 0.5000 0.5000
Fe 0.2500 0.2500 0.2500
Re 0.7500 0.7500 0.7500
CELL_PARAMETERS angstrom
0.0000 3.4224 3.4224
3.4224 0.0000 3.4224
3.4224 3.4224 0.0000
```



Computed, not measured: a geometry-optimized LaNdSi3Au structure at the GGA-PBE level of DFT. Values from VASP.

Computed properties:
energy above the lowest structure with this stoichiometry	0	meV/atom
space-group type	Fmmm
crystal system	orthorhombic

Geometry as Quantum ESPRESSO input:
```
&SYSTEM
  ibrav = 0, nat = 12, ntyp = 4
/
ATOMIC_SPECIES
La 138.91 La.upf
Nd 144.24 Nd.upf
Si 28.09 Si.upf
Au 196.97 Au.upf
ATOMIC_POSITIONS crystal
La 0.2432 0.7568 0.2432
La 0.7568 0.2432 0.7568
Nd 0.2500 0.2500 0.2500
Nd 0.7500 0.7500 0.7500
Si 0.1643 0.1643 0.8357
Si 0.1637 0.6715 0.8363
Si 0.3285 0.8363 0.6715
Si 0.6715 0.1637 0.3285
Si 0.8363 0.3285 0.1637
Si 0.8357 0.8357 0.1643
Au 0.3330 0.3330 0.6670
Au 0.6670 0.6670 0.3330
CELL_PARAMETERS angstrom
0.0000 4.3858 7.2022
4.1642 0.0000 7.2022
4.1642 4.3858 0.0000
```



Computed, not measured: a geometry-optimized Nb2Si3 structure at the GGA-PBE level of DFT. Values from VASP.

Computed properties:
space-group type	Fdd2
electronic total energy	-7.627	eV/atom
crystal system	orthorhombic

Geometry as Quantum ESPRESSO input:
```
&SYSTEM
  ibrav = 0, nat = 10, ntyp = 2
/
ATOMIC_SPECIES
Nb 92.91 Nb.upf
Si 28.09 Si.upf
ATOMIC_POSITIONS crystal
Nb 0.2253 0.7747 0.3772
Nb 0.6272 0.8728 0.4753
Nb 0.7747 0.2253 0.6228
Nb 0.8728 0.6272 0.0247
Si 0.1839 0.8321 0.0422
Si 0.2078 0.3082 0.0661
Si 0.3082 0.2078 0.4179
Si 0.3899 0.3899 0.6101
Si 0.6399 0.6399 0.8601
Si 0.8321 0.1839 0.9418
CELL_PARAMETERS angstrom
0.0000 6.1300 2.6362
4.6461 0.0000 2.6362
4.6461 6.1300 0.0000
```



Computed, not measured: a geometry-optimized TmLuHgC structure at the GGA-PBE level of DFT. Values from VASP.

Computed properties:
space-group type	P-6m2
electronic total energy	-5.056	eV/atom
crystal system	hexagonal

Geometry as Quantum ESPRESSO input:
```
&SYSTEM
  ibrav = 0, nat = 8, ntyp = 4
/
ATOMIC_SPECIES
Tm 168.93 Tm.upf
Lu 174.97 Lu.upf
Hg 200.59 Hg.upf
C 12.01 C.upf
ATOMIC_POSITIONS crystal
Tm 0.0000 0.0000 0.1649
Tm 0.0000 0.0000 0.8351
Lu 0.3333 0.6667 0.3354
Lu 0.3333 0.6667 0.6646
Hg 0.0000 0.0000 0.5000
Hg 0.3333 0.6667 0.0000
C 0.6667 0.3333 0.2505
C 0.6667 0.3333 0.7495
CELL_PARAMETERS angstrom
3.5301 0.0000 0.0000
-1.7651 3.0572 0.0000
0.0000 0.0000 15.4935
```



Computed, not measured: a geometry-optimized MgCdHgTe3 structure at the GGA-PBE level of DFT. Values from VASP.

Computed properties:
energy above the lowest structure with this stoichiometry	6	meV/atom
space-group type	Cmcm
crystal system	orthorhombic

Geometry as Quantum ESPRESSO input:
```
&SYSTEM
  ibrav = 0, nat = 12, ntyp = 4
/
ATOMIC_SPECIES
Mg 24.30 Mg.upf
Cd 112.41 Cd.upf
Hg 200.59 Hg.upf
Te 127.60 Te.upf
ATOMIC_POSITIONS crystal
Mg 0.2168 0.7832 0.7500
Mg 0.7832 0.2168 0.2500
Cd 0.0000 0.0000 0.0000
Cd 0.0000 0.0000 0.5000
Hg 0.4810 0.5190 0.2500
Hg 0.5190 0.4810 0.7500
Te 0.1219 0.8781 0.2500
Te 0.3514 0.6486 0.0671
Te 0.3514 0.6486 0.4329
Te 0.6486 0.3514 0.5671
Te 0.6486 0.3514 0.9329
Te 0.8781 0.1219 0.7500
CELL_PARAMETERS angstrom
2.0590 -7.1139 0.0000
2.0590 7.1139 0.0000
0.0000 0.0000 11.8445
```



Computed, not measured: a geometry-optimized NaLuCuSe3 structure at the GGA-PBE level of DFT. Values from VASP.

Computed properties:
space-group type	P2_1/m
electronic total energy	-4.443	eV/atom
crystal system	monoclinic

Geometry as Quantum ESPRESSO input:
```
&SYSTEM
  ibrav = 0, nat = 12, ntyp = 4
/
ATOMIC_SPECIES
Na 22.99 Na.upf
Lu 174.97 Lu.upf
Cu 63.55 Cu.upf
Se 78.96 Se.upf
ATOMIC_POSITIONS crystal
Na 0.2096 0.2500 0.2481
Na 0.7904 0.7500 0.7519
Lu 0.3198 0.7500 0.8503
Lu 0.6802 0.2500 0.1497
Cu 0.0815 0.2500 0.5945
Cu 0.9185 0.7500 0.4055
Se 0.0796 0.2500 0.8520
Se 0.2282 0.7500 0.5334
Se 0.4377 0.7500 0.1591
Se 0.5623 0.2500 0.8409
Se 0.7718 0.2500 0.4666
Se 0.9204 0.7500 0.1480
CELL_PARAMETERS angstrom
8.1490 0.0000 0.0000
0.0000 3.9310 0.0000
-2.5941 0.0000 9.0706
```